1.
The following is a PBE-GGA calculation of crystalline Ir2AuCl at its relaxed geometry, from Alexandria.

Cell lengths 2.8230, 3.3332, 7.8587 Å; angles 90.00, 90.37, 90.00 degrees
Last column: nearest neighbours and their distance in Å.
Positions (direct):
Ir: 0.0000 0.0000 0.0000  6 Ir 2.64-2.82, 4 Au 2.84
Ir: 0.4966 0.5000 0.8115  2 Cl 2.39, 4 Ir 2.64
Au: 0.5044 0.5000 0.2306  2 Au 2.82, 4 Ir 2.84
Cl: 0.4928 0.0000 0.5943  2 Ir 2.39

Computed properties:
For the density of states at the Fermi level, the calculation gives 2.68 states/eV/cell. As for the space-group type: No. 6. The uncorrected formation energy is 0.326 eV per atom. The calculation puts the total magnetic moment at 0.00 μB per formula unit. The density comes out at 13852 kg/m3.


2.
The following is a PBE-GGA calculation of crystalline GaSnN2F at its relaxed geometry, from Alexandria.

Cell lengths 3.9965, 3.9965, 3.8928 Å; angles 90.00, 90.00, 90.00 degrees
Last column: nearest neighbours and their distance in Å.
Positions (direct):
Ga: 0.0000 0.0000 0.0000  2 F 1.95, 4 N 2.00
Sn: 0.5000 0.5000 0.5000  8 N 2.79, 4 F 2.83
N: 0.0000 0.5000 0.0000  2 Ga 2.00
N: 0.5000 0.0000 0.0000  2 Ga 2.00
F: 0.0000 0.0000 0.5000  2 Ga 1.95

Computed properties:
For the density of states at the Fermi level, the calculation gives 2.75 states/eV/cell. As for the space-group type: No. 123. The uncorrected formation energy is 0.121 eV per atom. The calculation puts the total magnetic moment at 0.59 μB per formula unit. The density comes out at 6288 kg/m3.


3.
The following is a PBE-GGA calculation of crystalline PrNd2Sb at its relaxed geometry, from Alexandria.

Cell lengths 4.1535, 4.1535, 7.3781 Å; angles 90.00, 90.00, 90.00 degrees
Last column: nearest neighbours and their distance in Å.
Positions (direct):
Pr: 0.0000 0.0000 0.0000  8 Nd 3.61, 2 Sb 3.69
Nd: 0.5000 0.5000 0.2848  1 Nd 3.18, 4 Sb 3.34
Nd: 0.5000 0.5000 0.7152  1 Nd 3.18, 4 Sb 3.34
Sb: 0.0000 0.0000 0.5000  8 Nd 3.34, 2 Pr 3.69

Computed properties:
For the density of states at the Fermi level, the calculation gives 7.01 states/eV/cell. As for the space-group type: No. 123. The uncorrected formation energy is -0.498 eV per atom. The calculation puts the total magnetic moment at 0.01 μB per formula unit. The density comes out at 7190 kg/m3.


4.
The following is a PBE-GGA calculation of crystalline NiCl at its relaxed geometry, from Alexandria.

Cell lengths 6.7560, 6.6783, 5.1189 Å; angles 68.41, 66.80, 44.79 degrees
Last column: nearest neighbours and their distance in Å.
Positions (direct):
Ni: 0.0141 0.0141 0.2359  4 Cl 2.29-2.37, 1 Ni 2.51
Ni: 0.2359 0.2359 0.0141  4 Cl 2.29-2.37, 1 Ni 2.51
Ni: 0.7641 0.7641 0.9859  4 Cl 2.29-2.37, 1 Ni 2.51
Ni: 0.9859 0.9859 0.7641  4 Cl 2.29-2.37, 1 Ni 2.51
Cl: 0.1345 0.6155 0.1345  4 Ni 2.29-2.37
Cl: 0.3845 0.8655 0.3845  4 Ni 2.29-2.37
Cl: 0.6155 0.1345 0.6155  4 Ni 2.29-2.37
Cl: 0.8655 0.3845 0.8655  4 Ni 2.29-2.37

Computed properties:
For the density of states at the Fermi level, the calculation gives 10.57 states/eV/cell. As for the space-group type: No. 70. The uncorrected formation energy is -0.073 eV per atom. The calculation puts the total magnetic moment at 1.01 μB per formula unit. The density comes out at 4221 kg/m3.


5.
The following is a PBE-GGA calculation of crystalline Ti2VSbIr at its relaxed geometry, from Alexandria.

Cell lengths 4.7440, 4.7440, 4.9511 Å; angles 90.00, 90.00, 90.00 degrees
Last column: nearest neighbours and their distance in Å.
Positions (direct):
Ti: 0.0000 0.5000 0.0000  2 Ir 2.37
Ti: 0.5000 0.0000 0.0000  2 Ir 2.37
V: 0.0000 0.0000 0.5000  4 Sb 3.35, 8 Ti 3.43
Sb: 0.5000 0.5000 0.5000  2 Ir 2.48
Ir: 0.5000 0.5000 0.0000  4 Ti 2.37, 2 Sb 2.48

Computed properties:
For the density of states at the Fermi level, the calculation gives 10.93 states/eV/cell. As for the space-group type: No. 123. The uncorrected formation energy is 0.813 eV per atom. The calculation puts the total magnetic moment at 0.47 μB per formula unit. The density comes out at 6865 kg/m3.


6.
The following is a PBE-GGA calculation of crystalline Ac6La3Dy at its relaxed geometry, from Alexandria.

Cell lengths 7.0506, 7.0506, 10.0579 Å; angles 107.55, 107.55, 63.26 degrees
Last column: nearest neighbours and their distance in Å.
Positions (direct):
Ac: 0.0507 0.5540 0.2011  3 La 3.45-3.66, 3 Ac 3.67-3.79
Ac: 0.1258 0.1258 0.4135  1 Dy 3.89, 7 Ac 3.97-4.14, 3 La 4.20-4.26
Ac: 0.4460 0.9493 0.7989  3 La 3.45-3.66, 3 Ac 3.67-3.79
Ac: 0.5540 0.0507 0.2011  3 La 3.45-3.66, 3 Ac 3.67-3.79
Ac: 0.8742 0.8742 0.5865  1 Dy 3.89, 7 Ac 3.97-4.14, 3 La 4.20-4.26
Ac: 0.9493 0.4460 0.7989  3 La 3.45-3.66, 3 Ac 3.67-3.79
La: 0.4513 0.4513 0.8446  1 La 2.92
La: 0.5000 0.5000 0.5000  4 Ac 3.62, 2 La 3.71
La: 0.5487 0.5487 0.1554  1 La 2.92
Dy: 0.0000 0.0000 0.0000  10 Ac 3.89-4.06, 4 La 3.98

Computed properties:
For the density of states at the Fermi level, the calculation gives 16.11 states/eV/cell. As for the space-group type: No. 12. The calculation puts the total magnetic moment at 0.00 μB per formula unit. The density comes out at 7719 kg/m3. The formation energy from the elements is 17 kJ per mole of atoms.


7.
The following is a PBE-GGA calculation of crystalline EuLuBi2 at its relaxed geometry, from Alexandria.

Cell lengths 4.0515, 4.0515, 7.4745 Å; angles 90.00, 90.00, 90.00 degrees
Last column: nearest neighbours and their distance in Å.
Positions (direct):
Eu: 0.0000 0.0000 0.0000  8 Bi 3.51, 2 Lu 3.74
Lu: 0.0000 0.0000 0.5000  8 Bi 3.34, 2 Eu 3.74
Bi: 0.5000 0.5000 0.2702  4 Lu 3.34, 1 Bi 3.44, 4 Eu 3.51
Bi: 0.5000 0.5000 0.7298  4 Lu 3.34, 1 Bi 3.44, 4 Eu 3.51

Computed properties:
For the density of states at the Fermi level, the calculation gives 2.70 states/eV/cell. As for the space-group type: No. 123. The calculation puts the total magnetic moment at 7.03 μB per formula unit. The density comes out at 10082 kg/m3. The formation energy from the elements is -59 kJ per mole of atoms.


8.
The following is a PBE-GGA calculation of crystalline Sc5Al2TcRu2 at its relaxed geometry, from Alexandria.

Cell lengths 9.9753, 9.9753, 3.7765 Å; angles 90.00, 90.00, 90.00 degrees
Last column: nearest neighbours and their distance in Å.
Positions (direct):
Sc: 0.0000 0.5000 0.0000  4 Ru 2.57
Sc: 0.0801 0.1968 0.0000  2 Ru 2.64, 2 Tc 2.84
Sc: 0.1968 0.9199 0.0000  2 Ru 2.64, 2 Tc 2.84
Sc: 0.3032 0.4199 0.0000  2 Ru 2.64, 2 Tc 2.84
Sc: 0.4199 0.6968 0.0000  2 Ru 2.64, 2 Tc 2.84
Sc: 0.5000 0.0000 0.0000  4 Ru 2.57
Sc: 0.5801 0.3032 0.0000  2 Ru 2.64, 2 Tc 2.84
Sc: 0.6968 0.5801 0.0000  2 Ru 2.64, 2 Tc 2.84
Sc: 0.8032 0.0801 0.0000  2 Ru 2.64, 2 Tc 2.84
Sc: 0.9199 0.8032 0.0000  2 Ru 2.64, 2 Tc 2.84
Al: 0.1703 0.6703 0.5000  3 Ru 2.90-2.97, 6 Sc 3.06-3.14
Al: 0.3297 0.1703 0.5000  3 Ru 2.90-2.97, 6 Sc 3.06-3.14
Al: 0.6703 0.8297 0.5000  3 Ru 2.90-2.97, 6 Sc 3.06-3.14
Al: 0.8297 0.3297 0.5000  3 Ru 2.90-2.97, 6 Sc 3.06-3.14
Tc: 0.0000 0.0000 0.5000  8 Sc 2.84
Tc: 0.5000 0.5000 0.5000  8 Sc 2.84
Ru: 0.1240 0.3760 0.5000  6 Sc 2.57-2.64
Ru: 0.3760 0.8760 0.5000  6 Sc 2.57-2.64
Ru: 0.6240 0.1240 0.5000  6 Sc 2.57-2.64
Ru: 0.8760 0.6240 0.5000  6 Sc 2.57-2.64

Computed properties:
For the density of states at the Fermi level, the calculation gives 15.31 states/eV/cell. As for the space-group type: No. 127. The calculation puts the total magnetic moment at 0.00 μB per formula unit. The density comes out at 5116 kg/m3. The formation energy from the elements is -23 kJ per mole of atoms.


9.
The following is a PBE-GGA calculation of crystalline SiTc2Ru at its relaxed geometry, from Alexandria.

Cell lengths 5.0519, 5.0519, 5.0519 Å; angles 146.53, 128.87, 62.51 degrees
Last column: nearest neighbours and their distance in Å.
Positions (direct):
Si: 0.0000 0.0000 0.0000  2 Ru 2.41, 6 Tc 2.46-2.62
Tc: 0.2292 0.7292 0.5000  2 Si 2.46, 4 Ru 2.65
Tc: 0.5024 0.5024 0.0000  4 Si 2.62, 6 Tc 2.77-2.93, 4 Ru 2.79-2.92
Ru: 0.7775 0.2775 0.5000  2 Si 2.41, 4 Tc 2.65

Computed properties:
For the density of states at the Fermi level, the calculation gives 3.27 states/eV/cell. As for the space-group type: No. 44. The uncorrected formation energy is -0.266 eV per atom. The calculation puts the total magnetic moment at 0.00 μB per formula unit. The density comes out at 9854 kg/m3.


10.
The following is a PBE-GGA calculation of crystalline Ba5Sr7 at its relaxed geometry, from Alexandria.

Cell lengths 4.3626, 13.1284, 12.2317 Å; angles 90.00, 90.00, 90.00 degrees
Last column: nearest neighbours and their distance in Å.
Positions (direct):
Ba: 0.0000 0.0000 0.0000  6 Sr 4.29-4.41, 6 Ba 4.36-4.42
Ba: 0.0000 0.3348 0.5110  7 Sr 4.32-4.44, 5 Ba 4.34-4.38
Ba: 0.0000 0.6652 0.5110  7 Sr 4.32-4.44, 5 Ba 4.34-4.38
Ba: 0.5000 0.1684 0.2570  5 Sr 4.35-4.44, 7 Ba 4.36-4.42
Ba: 0.5000 0.8316 0.2570  5 Sr 4.35-4.44, 7 Ba 4.36-4.42
Sr: 0.0000 0.0000 0.5163  6 Sr 4.29-4.36, 6 Ba 4.40-4.44
Sr: 0.0000 0.3357 0.0027  9 Sr 4.24-4.36, 3 Ba 4.39-4.41
Sr: 0.0000 0.6643 0.0027  9 Sr 4.24-4.36, 3 Ba 4.39-4.41
Sr: 0.5000 0.1683 0.7582  4 Ba 4.29-4.32, 8 Sr 4.29-4.42
Sr: 0.5000 0.5000 0.2489  6 Sr 4.30-4.36, 6 Ba 4.35-4.44
Sr: 0.5000 0.5000 0.7640  8 Sr 4.24-4.36, 4 Ba 4.36
Sr: 0.5000 0.8317 0.7582  4 Ba 4.29-4.32, 8 Sr 4.29-4.42

Computed properties:
For the density of states at the Fermi level, the calculation gives 16.03 states/eV/cell. As for the space-group type: No. 25. The calculation puts the total magnetic moment at 0.00 μB per formula unit. The density comes out at 3081 kg/m3. The formation energy from the elements is 1 kJ per mole of atoms.


11.
The following is a PBE-GGA calculation of crystalline PrEr12Tm6 at its relaxed geometry, from Alexandria.

Cell lengths 8.4359, 8.4359, 8.4359 Å; angles 88.22, 88.22, 88.22 degrees
Last column: nearest neighbours and their distance in Å.
Positions (direct):
Pr: 0.0000 0.0000 0.0000  6 Tm 3.45, 6 Er 3.55
Er: 0.0072 0.2124 0.3559  4 Er 3.38-3.56, 4 Tm 3.48-3.63, 1 Pr 3.55
Er: 0.2124 0.3559 0.0072  4 Er 3.38-3.56, 4 Tm 3.48-3.63, 1 Pr 3.55
Er: 0.2272 0.4550 0.5646  3 Tm 3.20-3.40, 6 Er 3.25-3.50
Er: 0.3559 0.0072 0.2124  4 Er 3.38-3.56, 4 Tm 3.48-3.63, 1 Pr 3.55
Er: 0.4354 0.7728 0.5450  3 Tm 3.20-3.40, 6 Er 3.25-3.50
Er: 0.4550 0.5646 0.2272  3 Tm 3.20-3.40, 6 Er 3.25-3.50
Er: 0.5450 0.4354 0.7728  3 Tm 3.20-3.40, 6 Er 3.25-3.50
Er: 0.5646 0.2272 0.4550  3 Tm 3.20-3.40, 6 Er 3.25-3.50
Er: 0.6441 0.9928 0.7876  4 Er 3.38-3.56, 4 Tm 3.48-3.63, 1 Pr 3.55
Er: 0.7728 0.5450 0.4354  3 Tm 3.20-3.40, 6 Er 3.25-3.50
Er: 0.7876 0.6441 0.9928  4 Er 3.38-3.56, 4 Tm 3.48-3.63, 1 Pr 3.55
Er: 0.9928 0.7876 0.6441  4 Er 3.38-3.56, 4 Tm 3.48-3.63, 1 Pr 3.55
Tm: 0.0916 0.6850 0.2558  6 Er 3.20-3.57, 1 Pr 3.45, 2 Tm 3.47
Tm: 0.2558 0.0916 0.6850  6 Er 3.20-3.57, 1 Pr 3.45, 2 Tm 3.47
Tm: 0.3150 0.7442 0.9084  6 Er 3.20-3.57, 1 Pr 3.45, 2 Tm 3.47
Tm: 0.6850 0.2558 0.0916  6 Er 3.20-3.57, 1 Pr 3.45, 2 Tm 3.47
Tm: 0.7442 0.9084 0.3150  6 Er 3.20-3.57, 1 Pr 3.45, 2 Tm 3.47
Tm: 0.9084 0.3150 0.7442  6 Er 3.20-3.57, 1 Pr 3.45, 2 Tm 3.47

Computed properties:
For the density of states at the Fermi level, the calculation gives 31.83 states/eV/cell. As for the space-group type: No. 148. The calculation puts the total magnetic moment at 0.00 μB per formula unit. The density comes out at 8758 kg/m3. The formation energy from the elements is 16 kJ per mole of atoms.


12.
The following is a PBE-GGA calculation of crystalline Zr4Tl2O at its relaxed geometry, from Alexandria.

Cell lengths 5.9322, 6.1808, 8.5849 Å; angles 90.00, 106.97, 90.00 degrees
Last column: nearest neighbours and their distance in Å.
Positions (direct):
Zr: 0.0789 0.0054 0.3206  1 O 2.14
Zr: 0.0789 0.4946 0.3206  1 O 2.14
Zr: 0.3008 0.2500 0.0389  1 O 2.11
Zr: 0.4192 0.2500 0.6623  1 O 2.08
Zr: 0.5808 0.7500 0.3377  1 O 2.08
Zr: 0.6992 0.7500 0.9611  1 O 2.11
Zr: 0.9211 0.5054 0.6794  1 O 2.14
Zr: 0.9211 0.9946 0.6794  1 O 2.14
Tl: 0.2202 0.7500 0.0122  7 Zr 2.98-3.26, 1 O 3.25
Tl: 0.3777 0.7500 0.6218  8 Zr 2.98-3.26
Tl: 0.6223 0.2500 0.3782  8 Zr 2.98-3.26
Tl: 0.7798 0.2500 0.9878  7 Zr 2.98-3.26, 1 O 3.25
O: 0.1623 0.2500 0.7833  4 Zr 2.08-2.14
O: 0.8377 0.7500 0.2167  4 Zr 2.08-2.14

Computed properties:
For the density of states at the Fermi level, the calculation gives 9.39 states/eV/cell. As for the space-group type: No. 11. The uncorrected formation energy is -0.742 eV per atom. The calculation puts the total magnetic moment at 0.00 μB per formula unit. The density comes out at 8711 kg/m3.


Number 1: uncorrected energy -5.39 eV/atom. Number 2: uncorrected energy -4.99 eV/atom. Number 3: uncorrected energy -5.11 eV/atom. Number 4: uncorrected energy -3.89 eV/atom. Number 5: uncorrected energy -6.77 eV/atom. Number 6: uncorrected energy -4.22 eV/atom. Number 7: uncorrected energy -6.25 eV/atom. Number 8: uncorrected energy -7.04 eV/atom. Number 9: uncorrected energy -9.12 eV/atom. Number 10: uncorrected energy -1.77 eV/atom. Number 11: uncorrected energy -4.38 eV/atom. Number 12: uncorrected energy -7.01 eV/atom.